[1]
Material: Ba2LaAg
Method: DFT, PBE
State: optimized geometry

Cell lengths 4.0515, 4.0515, 10.4260 Å; angles 90.00, 90.00, 90.00 degrees
Last column: nearest neighbours and their distance in Å.
Fractional positions:
Ag  0.5000  0.5000  0.7198  4 La 3.26, 4 Ba 3.60
Ba  0.0000  0.0000  0.9292  4 Ag 3.60, 1 La 3.73
Ba  0.5000  0.5000  0.2797  4 Ba 4.05, 4 La 4.18
La  0.0000  0.0000  0.5712  4 Ag 3.26

## Properties
Space group ... P4mm
Energy above the lowest structure with this stoichiometry ... 0.000 eV per atom
Formation energy from the elements ... -0.05 eV/atom


[2]
Material: Ba2LaAg
Method: DFT, PBE
State: optimized geometry

Cell lengths 7.0064, 7.0064, 7.0064 Å; angles 137.21, 137.21, 62.11 degrees
Last column: nearest neighbours and their distance in Å.
Fractional positions:
La  0.2500  0.7500  0.5000  4 Ag 3.61, 8 Ba 3.94
Ag  0.7500  0.2500  0.5000  4 La 3.61, 8 Ba 3.94
Ba  0.0000  0.0000  0.0000  4 Ba 3.61, 4 La 3.94, 4 Ag 3.94
Ba  0.5000  0.5000  0.0000  4 Ba 3.61, 4 Ag 3.94, 4 La 3.94

## Properties
Space group ... I4/mmm
Energy above the lowest structure with this stoichiometry ... 0.256 eV per atom
Formation energy from the elements ... 0.20 eV/atom


[3]
Material: Ba2LaAg
Method: DFT, PBE
State: optimized geometry

Cell lengths 4.4383, 5.9922, 5.9156 Å; angles 90.00, 90.00, 90.00 degrees
Last column: nearest neighbours and their distance in Å.
Fractional positions:
La  0.5000  0.0000  0.5000  4 Ba 3.70, 4 Ag 3.73
Ba  0.5000  0.5000  0.0000  4 Ag 3.70, 4 Ba 3.73
Ba  0.0000  0.0000  0.0000  4 La 3.70, 4 Ba 3.73
Ag  0.0000  0.5000  0.5000  4 Ba 3.70, 4 La 3.73

## Properties
Space group ... Pmmm
Energy above the lowest structure with this stoichiometry ... 0.222 eV per atom
Formation energy from the elements ... 0.17 eV/atom


[4]
Material: BaLaAg
Method: DFT, PBE
State: optimized geometry

Cell lengths 5.5167, 5.5167, 5.5167 Å; angles 60.00, 60.00, 60.00 degrees
Last column: nearest neighbours and their distance in Å.
Fractional positions:
Ba  0.0000  0.0000  0.0000  4 Ag 3.38
Ag  0.7500  0.7500  0.7500  4 Ba 3.38, 4 La 3.38
La  0.5000  0.5000  0.5000  4 Ag 3.38

## Properties
Space group ... F-43m
Energy above the lowest structure with this stoichiometry ... 0.198 eV per atom
Formation energy from the elements ... 0.11 eV/atom


[5]
Material: Ba2LaAg
Method: DFT, PBE
State: optimized geometry

Cell lengths 4.0289, 4.0289, 10.2431 Å; angles 90.00, 90.00, 90.00 degrees
Last column: nearest neighbours and their distance in Å.
Fractional positions:
Ba  0.0000  0.0000  0.5490  4 Ag 3.51
Ba  0.0000  0.0000  0.9510  4 Ag 3.51
Ag  0.5000  0.5000  0.7500  8 Ba 3.51
La  0.5000  0.5000  0.2500  4 La 4.03, 8 Ba 4.18

## Properties
Space group ... P4/mmm
Energy above the lowest structure with this stoichiometry ... 0.066 eV per atom
Formation energy from the elements ... 0.01 eV/atom


[6]
Material: BaLa3Ag4
Method: DFT, PBE
State: optimized geometry

Cell lengths 5.5314, 7.7076, 11.0610 Å; angles 90.00, 90.00, 90.00 degrees
Last column: nearest neighbours and their distance in Å.
Fractional positions:
Ag  0.9993  0.7718  0.2500  6 La 3.28-3.47, 2 Ba 3.47, 1 Ag 3.52
Ag  0.9993  0.2282  0.2500  6 La 3.28-3.47, 2 Ba 3.47, 1 Ag 3.52
Ag  0.0007  0.2282  0.7500  6 La 3.28-3.47, 2 Ba 3.47, 1 Ag 3.52
Ag  0.5000  0.7717  0.0000  6 La 3.28-3.47, 2 Ba 3.47, 1 Ag 3.52
Ag  0.5000  0.7717  0.5000  6 La 3.28-3.47, 2 Ba 3.47, 1 Ag 3.52
Ag  0.5000  0.2283  0.5000  6 La 3.28-3.47, 2 Ba 3.47, 1 Ag 3.52
Ag  0.5000  0.2283  0.0000  6 La 3.28-3.47, 2 Ba 3.47, 1 Ag 3.52
Ag  0.0007  0.7718  0.7500  6 La 3.28-3.47, 2 Ba 3.47, 1 Ag 3.52
Ba  0.0000  0.5000  0.5000  8 Ag 3.47, 2 La 3.85
Ba  0.0000  0.5000  0.0000  8 Ag 3.47, 2 La 3.85
La  0.4997  0.5000  0.2500  8 Ag 3.47, 2 La 3.85
La  0.0000  0.0000  0.5000  8 Ag 3.28
La  0.4994  0.0000  0.2500  8 Ag 3.28
La  0.5006  0.0000  0.7500  8 Ag 3.28
La  0.5003  0.5000  0.7500  8 Ag 3.47, 2 La 3.85
La  0.0000  0.0000  0.0000  8 Ag 3.28

## Properties
Space group ... P4/mmm
Formation energy from the elements ... -0.22 eV/atom


[7]
Material: BaLa4Ag
Method: DFT, PBE
State: optimized geometry

Cell lengths 6.7882, 6.7882, 6.7882 Å; angles 60.00, 60.00, 60.00 degrees
Last column: nearest neighbours and their distance in Å.
Fractional positions:
La  0.3795  0.3795  0.8615  6 La 3.27-3.52
La  0.8615  0.3795  0.3795  6 La 3.27-3.52
La  0.3795  0.3795  0.3795  6 La 3.27-3.52
La  0.3795  0.8615  0.3795  6 La 3.27-3.52
Ag  0.7500  0.7500  0.7500  12 La 3.97, 4 Ba 4.16
Ba  0.0000  0.0000  0.0000  12 La 3.99, 4 Ag 4.16

## Properties
Space group ... F-43m
Formation energy from the elements ... 0.35 eV/atom


[8]
Material: Ba2LaAg
Method: DFT, PBE
State: optimized geometry

Cell lengths 7.4892, 7.4892, 6.0149 Å; angles 66.33, 66.33, 32.01 degrees
Last column: nearest neighbours and their distance in Å.
Fractional positions:
Ba  0.0485  0.0485  0.9515  2 Ag 3.35
Ba  0.4515  0.4515  0.5485  2 Ag 3.35
La  0.2500  0.2500  0.2500  4 Ag 3.65, 4 Ba 4.00
Ag  0.7500  0.7500  0.7500  4 Ba 3.35, 4 La 3.65

## Properties
Space group ... Immm
Energy above the lowest structure with this stoichiometry ... 0.135 eV per atom
Formation energy from the elements ... 0.08 eV/atom


| no. | raw total energy (eV per atom) | volume (Å³/atom) |
| --- | --- | --- |
| 1 | -2.9593 | 42.8 |
| 2 | -2.7033 | 39.2 |
| 3 | -2.7375 | 39.3 |
| 4 | -3.1202 | 39.6 |
| 5 | -2.8935 | 41.6 |
| 6 | -3.7324 | 29.5 |
| 7 | -3.7352 | 36.9 |
| 8 | -2.8244 | 40.6 |